Material: K5Pm3Br12
Method: DFT, GGA-PBE
State: relaxed

It has space group Ia-3d (No. 230), with a = 19.114 Å, b = 19.114 Å, c = 19.114 Å, α = 90.00°, β = 90.00° and γ = 90.00°. The inequivalent atoms are K at (0.000, 0.000, 0.000), K at (0.000, 0.250, 0.375), Pm at (0.000, 0.250, 0.125) and Br at (0.021, 0.054, 0.339).

As for the raw total energy: -576.70 eV for the cell shown. Its raw formation energy is -1.614 eV/atom.